Arrangement 1

A geometry-optimized FeP2S2 structure, computed with PBE.

```
FeP2S2
1.0
4.399 0.000 0.000
0.000 4.399 0.000
0.000 0.000 4.340
P S Fe
2 2 1
Direct
0.000 0.500 0.000 P
0.500 0.000 0.000 P
0.000 0.000 0.000 S
0.000 0.000 0.500 S
0.500 0.500 0.500 Fe
```

## Properties
**DOS at the Fermi energy**: 5.9 states/eV per cell

Arrangement 2

A geometry-optimized FeP2S2 structure, computed with PBE.

```
FeP2S2
1.0
4.287 0.000 0.000
0.000 4.287 0.000
0.000 0.000 4.630
P S Fe
2 2 1
Direct
0.500 0.500 0.500 P
0.000 0.000 0.500 P
0.000 0.500 0.000 S
0.500 0.000 0.000 S
0.000 0.000 0.000 Fe
```

## Properties
**DOS at the Fermi energy**: 3.7 states/eV per cell

Arrangement 3

A geometry-optimized FeP2S2 structure, computed with PBE.

```
FeP2S2
1.0
4.368 0.000 0.000
0.000 4.368 0.000
0.000 0.000 4.372
P S Fe
2 2 1
Direct
0.000 0.000 0.000 P
0.000 0.000 0.500 P
0.000 0.500 0.000 S
0.500 0.000 0.000 S
0.500 0.500 0.500 Fe
```

## Properties
**DOS at the Fermi energy**: 5.6 states/eV per cell

Arrangement 4

A geometry-optimized FeP2S2 structure, computed with PBE.

```
FeP2S2
1.0
-3.705 -1.700 1.840
-1.163 -1.743 -3.951
2.065 -3.492 0.932
P S Fe
2 2 1
Direct
0.000 0.500 0.000 P
0.500 0.000 0.000 P
0.500 0.500 0.500 S
0.000 0.000 0.500 S
0.000 0.000 0.000 Fe
```

## Properties
**DOS at the Fermi energy**: 4.4 states/eV per cell

Ranking the structures above by energy, arrangement 4 is first and the second is 89 meV/atom behind.